InCo2Sb (PBE, optimized geometry); uncorrected formation energy = 11.9 kJ/mol of atoms
1.0
3.527 0.000 0.000
0.000 3.963 0.000
-1.753 0.000 4.762
In Co Sb
1 2 1
Direct
0.000 0.000 0.000 In
0.282 0.000 0.564 Co
0.424 0.500 0.847 Co
0.710 0.500 0.419 Sb